No. 1
Here is crystalline LiRe2Rh at its relaxed geometry from Alexandria via LeMat-Bulk. Energies are from PBE-GGA.

abc: 4.1509 2.6571 5.1177
angles: 80.65 90.00 90.00
Atoms (fractional coordinates):
Li (0.5000, 0.6999, 0.7468)
Re (0.5000, 0.2110, 0.2428)
Re (0.0000, 0.9959, 0.9882)
Rh (0.0000, 0.5932, 0.5222)

Calculated values
**Energy**: -8.481 eV per atom
**Energy of formation**: 59 meV/atom
**ΔE to the lowest computed polymorph**: 0.000 eV/atom
**M_tot**: 0.00 μB per atom

No. 2
Here is crystalline LiRe2Rh at its relaxed geometry from Alexandria via LeMat-Bulk. Energies are from PBE-GGA.

abc: 3.1972 3.1972 5.4074
angles: 90.00 90.00 90.00
Atoms (fractional coordinates):
Re (0.0000, 0.0000, 0.9722)
Re (0.0000, 0.0000, 0.5278)
Li (0.5000, 0.5000, 0.7500)
Rh (0.5000, 0.5000, 0.2500)

Calculated values
**Energy**: -8.079 eV per atom
**Energy of formation**: 462 meV/atom
**ΔE to the lowest computed polymorph**: 0.402 eV/atom
**M_tot**: 0.00 μB per atom

No. 3
Here is crystalline Li2ReRh at its relaxed geometry from Alexandria via LeMat-Bulk. Energies are from PBE-GGA.

abc: 4.1610 4.1610 4.1610
angles: 60.00 60.00 60.00
Atoms (fractional coordinates):
Re (0.5000, 0.5000, 0.5000)
Rh (0.0000, 0.0000, 0.0000)
Li (0.7500, 0.7500, 0.7500)
Li (0.2500, 0.2500, 0.2500)

Calculated values
**Energy**: -5.280 eV per atom
**Energy of formation**: 627 meV/atom
**ΔE to the lowest computed polymorph**: 0.571 eV/atom
**M_tot**: 0.57 μB per atom

No. 4
Here is crystalline Li2ReRh at its relaxed geometry from Alexandria via LeMat-Bulk. Energies are from PBE-GGA.

abc: 4.5377 4.5377 4.9741
angles: 83.57 83.57 34.12
Atoms (fractional coordinates):
Rh (0.2531, 0.2531, 0.2865)
Li (0.9926, 0.9926, 0.9757)
Li (0.7503, 0.7503, 0.7771)
Re (0.5040, 0.5040, 0.4607)

Calculated values
**Energy**: -5.821 eV per atom
**Energy of formation**: 86 meV/atom
**ΔE to the lowest computed polymorph**: 0.030 eV/atom
**M_tot**: 0.00 μB per atom